Entry 1:
VASP calculation (PBE) on a geometry-optimized Cs2Tl3Te3 structure.

Cell lengths 4.6892, 16.9797, 17.9119 Å; angles 90.00, 90.00, 90.00 degrees
With the nearest neighbours (Å) after each atom.
Space group Cmcm (No. 63)
One atom of each set of equivalent atoms:
Cs1 0.0000 0.1683 0.1150 x8  5 Te 3.85-4.00, 3 Tl 3.98-4.12
Tl1 0.0000 0.3542 0.2500 x4  1 Te 3.18, 2 Tl 3.53
Tl2 0.0000 0.4708 0.0867 x8  3 Te 3.09-3.16, 1 Tl 3.26
Te1 0.0000 0.1467 0.5990 x8  2 Tl 3.09
Te2 0.0000 0.4588 0.7500 x4  3 Tl 3.16-3.18

raw formation energy: -4.27 eV per formula unit
electronic total energy: -22.5 eV per formula unit

=====

Entry 2:
VASP calculation (PBE) on a geometry-optimized Be2SiRh2 structure.

Cell lengths 6.3628, 6.3628, 2.9509 Å; angles 90.00, 90.00, 90.00 degrees
With the nearest neighbours (Å) after each atom.
Space group P4/mbm (No. 127)
One atom of each set of equivalent atoms:
Be1 0.1304 0.3696 0.0000 x4  1 Be 2.35, 6 Rh 2.37-2.39
Si1 0.0000 0.0000 0.5000 x2  4 Rh 2.38
Rh1 0.1639 0.6639 0.5000 x4  6 Be 2.37-2.39, 2 Si 2.38

raw formation energy: -2.38 eV per formula unit
electronic total energy: -30.0 eV per formula unit

=====

Entry 3:
VASP calculation (PBE) on a geometry-optimized PuAg3 structure.

Cell lengths 5.5875, 5.5875, 5.5875 Å; angles 90.00, 90.00, 90.00 degrees
With the nearest neighbours (Å) after each atom.
Space group Pm-3n (No. 223)
One atom of each set of equivalent atoms:
Pu1 0.0000 0.0000 0.0000 x2  12 Ag 3.12
Ag1 0.0000 0.2500 0.5000 x6  2 Ag 2.79, 4 Pu 3.12

formation energy: 0.14 eV per atom
electronic total energy: -22.3 eV per formula unit